1.
The following is a DFT calculation (GGA-PBE) of a relaxed structure of Tb6Hg2Te3Se.

abc: 19.5235 4.2326 8.7912
angles: 90.00 111.02 90.00
With the nearest neighbours (Å) after each atom.
Space group C2/m (No. 12)
Inequivalent atoms, fractional coordinates:
Tb 0.0107 0.0000 0.2414  2 Se 2.95, 3 Te 3.15-3.17, 1 Hg 3.16
Tb 0.1621 0.5000 0.6210  3 Te 2.95-3.06, 3 Hg 3.04-3.06
Tb 0.1629 0.5000 0.1274  1 Se 2.97, 2 Hg 3.06, 2 Te 3.08
Hg 0.1842 0.0000 0.3919  6 Tb 3.04-3.16, 2 Hg 3.34
Te 0.0000 0.5000 0.5000  6 Tb 2.95-3.17
Te 0.1618 0.0000 0.8720  6 Tb 3.06-3.42
Se 0.0000 0.5000 0.0000  6 Tb 2.95-2.97

The size of the total moment is 0.00 μB/cell. The calculation puts the final energy at -109.15 eV per cell. Its crystal system is monoclinic. Its formation energy (no corrections) is -1107 meV per atom.

2.
The following is a DFT calculation (GGA-PBE) of a relaxed structure of MgCoCu.

abc: 4.2353 4.2353 2.6256
angles: 90.00 90.00 120.00
With the nearest neighbours (Å) after each atom.
Space group P3m1 (No. 156)
Inequivalent atoms, fractional coordinates:
Mg 0.0000 0.0000 0.0000  2 Mg 2.63, 6 Cu 2.65-2.92, 6 Co 2.67-2.90
Co 0.3333 0.6667 0.4056  3 Cu 2.50, 2 Co 2.63, 3 Mg 2.67
Cu 0.6667 0.3333 0.6074  3 Co 2.50, 2 Cu 2.63, 3 Mg 2.65

The calculation puts the energy relative to the lowest polymorph listed for this composition at 188.8 meV/atom. The size of the total moment is 1.22 μB/cell. The calculation puts the final energy at -12.28 eV per cell. The calculation puts the formation enthalpy at 0 K at 0.173 eV/atom. Its crystal system is trigonal.

3.
The following is a DFT calculation (GGA-PBE) of a relaxed structure of BaCa2GaRh.

abc: 5.4990 5.4990 5.0566
angles: 90.00 90.00 90.00
With the nearest neighbours (Å) after each atom.
Space group P4/mmm (No. 123)
Inequivalent atoms, fractional coordinates:
Ba 0.0000 0.0000 0.0000  8 Ca 3.74, 4 Ga 3.89
Ca 0.0000 0.5000 0.5000  2 Rh 2.75
Ga 0.5000 0.5000 0.0000  2 Rh 2.53
Rh 0.5000 0.5000 0.5000  2 Ga 2.53, 4 Ca 2.75

The size of the total moment is 0.00 μB/cell. The calculation puts the final energy at -17.91 eV per cell. The calculation puts the formation enthalpy at 0 K at -0.321 eV/atom. Its crystal system is tetragonal.

4.
The following is a DFT calculation (GGA-PBE) of a relaxed structure of ZrMnW2.

abc: 2.9954 2.9954 7.2991
angles: 90.00 90.00 90.00
With the nearest neighbours (Å) after each atom.
Space group P4/mmm (No. 123)
Inequivalent atoms, fractional coordinates:
Zr 0.0000 0.0000 0.0000  4 Zr 3.00, 8 W 3.02
Mn 0.0000 0.0000 0.5000  8 W 2.59
W 0.5000 0.5000 0.2949  4 Mn 2.59

The calculation puts the energy relative to the lowest polymorph listed for this composition at 149.1 meV/atom. The size of the total moment is 0.00 μB/cell. The calculation puts the final energy at -42.76 eV per cell. The calculation puts the formation enthalpy at 0 K at 0.215 eV/atom. Its crystal system is tetragonal.